Below is a geometry-optimized BaLiSnSe3 structure, with properties calculated at the PBE level.

Computed properties:
SG: No. 12
Crystal system: monoclinic
V, Å³ per atom: 30.69
Electronic total energy, eV per cell: -49.3
M_tot, μB/f.u.: 0.00

Unit cell a=7.042 b=7.042 c=8.944 alpha=67.36 beta=67.36 gamma=70.26
Fractional coordinates of all 12 atoms:
1 Ba 0.700 0.700 0.810
2 Ba 0.300 0.300 0.190
3 Li 0.327 0.673 0.500
4 Li 0.673 0.327 0.500
5 Sn 0.046 0.046 0.822
6 Sn 0.954 0.954 0.178
7 Se 0.278 0.278 0.571
8 Se 0.198 0.665 0.806
9 Se 0.665 0.198 0.806
10 Se 0.335 0.802 0.194
11 Se 0.802 0.335 0.194
12 Se 0.722 0.722 0.429